1.
DFT (PBE) results for an optimized crystal structure of TbPaTe2.

For the density of states at the Fermi level, the calculation gives 24.10 states/eV per cell. The value obtained for the formation energy from raw total energies is -0.87 eV/atom. The calculation puts the total DFT energy (no corrections) at -5.970 eV/atom. The density comes out at 10.09 g/cm³. The calculated volume comes out at 26.5 Å³ per atom. The value obtained for the relative energy among the computed polymorphs is 52.2 meV per atom.

The space group is Fm-3m (No. 225) and the conventional cell measures 7.516, 7.516 and 7.516 Å, with angles of 90.00, 90.00 and 90.00 degrees. The distinct sites, in fractional coordinates, are Tb at (0.000, 0.000, 0.000), Pa at (0.000, 0.000, 0.500) and Te at (0.250, 0.250, 0.250).

***

2.
DFT (PBE) results for an optimized crystal structure of Ce5MgSn3.

For the density of states at the Fermi level, the calculation gives 43.89 states/eV per cell. The calculation puts the total DFT energy (no corrections) at -5.295 eV/atom. The density comes out at 7.01 g/cm³. Its formation energy is -0.4867 eV per atom. The calculated volume comes out at 28.4 Å³ per atom.

The space group is P6_3/mcm (No. 193) and the conventional cell measures 9.5106, 9.5106 and 6.5354 Å, with angles of 90.00, 90.00 and 120.00 degrees. The distinct sites, in fractional coordinates, are Ce at (0.0000, 0.3090, 0.2500), Ce at (0.3333, 0.6667, 0.0000), Mg at (0.0000, 0.0000, 0.0000) and Sn at (0.0000, 0.3532, 0.7500).

***

3.
DFT (PBE) results for an optimized crystal structure of SrRe2Tc.

For the density of states at the Fermi level, the calculation gives 7.08 states/eV per cell. The calculation puts the total DFT energy (no corrections) at -8.356 eV/atom. The density comes out at 12.61 g/cm³. Its formation energy is 0.8799 eV per atom. The calculated volume comes out at 18.4 Å³ per atom. The value obtained for the relative energy among the computed polymorphs is 230.0 meV per atom.

The space group is Immm (No. 71) and the conventional cell measures 2.834, 5.010 and 10.351 Å, with angles of 90.00, 90.00 and 90.00 degrees. The distinct sites, in fractional coordinates, are Sr at (0.000, 0.000, 0.000), Re at (0.000, 0.500, 0.216) and Tc at (0.000, 0.000, 0.500).

***

4.
DFT (PBE) results for an optimized crystal structure of Ta3Fe.

For the density of states at the Fermi level, the calculation gives 11.25 states/eV per cell. The calculation puts the total DFT energy (no corrections) at -10.941 eV/atom. The density comes out at 15.11 g/cm³. Its formation energy is 0.0641 eV per atom. The calculated volume comes out at 16.4 Å³ per atom.

The space group is R-3m (No. 166, hexagonal axes) and the conventional cell measures 8.9181, 8.9181 and 2.8651 Å, with angles of 90.00, 90.00 and 120.00 degrees. The distinct sites, in fractional coordinates, are Ta at (0.0000, 0.5000, 0.0000) and Fe at (0.0000, 0.0000, 0.0000).

***

5.
DFT (PBE) results for an optimized crystal structure of Nd6SmY12.

For the density of states at the Fermi level, the calculation gives 103.04 states/eV per cell. The calculation puts the total DFT energy (no corrections) at -5.631 eV/atom. The density comes out at 5.26 g/cm³. Its formation energy is 0.2051 eV per atom. The calculated volume comes out at 34.6 Å³ per atom. The value obtained for the relative energy among the computed polymorphs is 94.8 meV per atom.

The space group is R-3m (No. 166, hexagonal axes) and the conventional cell measures 13.4240, 13.4240 and 12.6329 Å, with angles of 90.00, 90.00 and 120.00 degrees. The distinct sites, in fractional coordinates, are Nd at (0.0393, 0.5197, 0.1177), Sm at (0.0000, 0.0000, 0.5000), Y at (0.0000, 0.2578, 0.0000) and Y at (0.0908, 0.1816, 0.7625).

***

6.
DFT (PBE) results for an optimized crystal structure of Mg2AlInGe.

For the density of states at the Fermi level, the calculation gives 4.32 states/eV per cell. The calculation puts the total DFT energy (no corrections) at -2.183 eV/atom. The density comes out at 3.08 g/cm³. Its formation energy is 0.6742 eV per atom. The calculated volume comes out at 28.4 Å³ per atom.

The space group is P4/mmm (No. 123) and the conventional cell measures 5.253, 5.253 and 5.147 Å, with angles of 90.00, 90.00 and 90.00 degrees. The distinct sites, in fractional coordinates, are Mg at (0.000, 0.500, 0.000), Al at (0.000, 0.000, 0.500), In at (0.000, 0.000, 0.000) and Ge at (0.500, 0.500, 0.500).

***

7.
DFT (PBE) results for an optimized crystal structure of LiLaNdSm.

For the density of states at the Fermi level, the calculation gives 20.14 states/eV per cell. The calculation puts the total DFT energy (no corrections) at -3.916 eV/atom. The density comes out at 5.66 g/cm³. Its formation energy is 0.1665 eV per atom. The calculated volume comes out at 32.3 Å³ per atom.

The space group is F-43m (No. 216) and the conventional cell measures 8.025, 8.025 and 8.025 Å, with angles of 90.00, 90.00 and 90.00 degrees. The distinct sites, in fractional coordinates, are Li at (0.000, 0.000, 0.000), La at (0.250, 0.250, 0.250), Nd at (0.250, 0.250, 0.750) and Sm at (0.000, 0.000, 0.500).

***

8.
DFT (PBE) results for an optimized crystal structure of Ta2BeAu.

For the density of states at the Fermi level, the calculation gives 14.23 states/eV per cell. The calculation puts the total DFT energy (no corrections) at -7.415 eV/atom. The density comes out at 14.37 g/cm³. Its formation energy is 0.2623 eV per atom. The calculated volume comes out at 16.4 Å³ per atom.

The space group is R-3m (No. 166, hexagonal axes) and the conventional cell measures 2.8874, 2.8874 and 27.2596 Å, with angles of 90.00, 90.00 and 120.00 degrees. The distinct sites, in fractional coordinates, are Ta at (0.0000, 0.0000, 0.2440), Be at (0.0000, 0.0000, 0.5000) and Au at (0.0000, 0.0000, 0.0000).

***

9.
DFT (PBE) results for an optimized crystal structure of CrRe2Se.

For the density of states at the Fermi level, the calculation gives 8.04 states/eV per cell. The value obtained for the formation energy from raw total energies is 0.68 eV/atom. The calculation puts the total DFT energy (no corrections) at -8.825 eV/atom. The density comes out at 13.91 g/cm³. The calculated volume comes out at 15.0 Å³ per atom. The value obtained for the relative energy among the computed polymorphs is 466.5 meV per atom.

The space group is Cmmm (No. 65) and the conventional cell measures 5.084, 8.075 and 2.927 Å, with angles of 90.00, 90.00 and 90.00 degrees. The distinct sites, in fractional coordinates, are Cr at (0.000, 0.000, 0.000), Re at (0.250, 0.250, 0.500) and Se at (0.000, 0.500, 0.000).

***

10.
DFT (PBE) results for an optimized crystal structure of TlHF2.

For the density of states at the Fermi level, the calculation gives 1.42 states/eV per cell. The calculation puts the total DFT energy (no corrections) at -2.892 eV/atom. The density comes out at 8.02 g/cm³. The calculated volume comes out at 12.6 Å³ per atom. The value obtained for the relative energy among the computed polymorphs is 1238.4 meV per atom.

The space group is R-3m (No. 166, hexagonal axes) and the conventional cell measures 2.9960, 2.9960 and 19.4483 Å, with angles of 90.00, 90.00 and 120.00 degrees. The distinct sites, in fractional coordinates, are Tl at (0.0000, 0.0000, 0.0000), H at (0.0000, 0.0000, 0.5000) and F at (0.0000, 0.0000, 0.1200).

***

11.
DFT (PBE) results for an optimized crystal structure of SnPdRh.

For the density of states at the Fermi level, the calculation gives 3.34 states/eV per cell. The calculation puts the total DFT energy (no corrections) at -5.815 eV/atom. The density comes out at 10.86 g/cm³. Its formation energy is -0.2998 eV per atom. The calculated volume comes out at 16.7 Å³ per atom.

The space group is I4mm (No. 107) and the conventional cell measures 3.221, 3.221 and 9.674 Å, with angles of 90.00, 90.00 and 90.00 degrees. The distinct sites, in fractional coordinates, are Sn at (0.000, 0.000, 0.000), Pd at (0.000, 0.000, 0.661) and Rh at (0.000, 0.000, 0.348).

***

12.
DFT (PBE) results for an optimized crystal structure of Y4SiHgC.

For the density of states at the Fermi level, the calculation gives 6.51 states/eV per cell. The value obtained for the formation energy from raw total energies is -0.46 eV/atom. The calculation puts the total DFT energy (no corrections) at -6.290 eV/atom. The density comes out at 5.75 g/cm³. The calculated volume comes out at 24.6 Å³ per atom.

The space group is Cmcm (No. 63) and the conventional cell measures 6.870, 14.625 and 6.856 Å, with angles of 90.00, 90.00 and 90.00 degrees. The distinct sites, in fractional coordinates, are Y at (0.000, 0.078, 0.250), Y at (0.000, 0.418, 0.250), Y at (0.250, 0.250, 0.000), Si at (0.000, 0.125, 0.750), Hg at (0.000, 0.384, 0.750) and C at (0.000, 0.248, 0.250).